Entry 1:
A plane-wave DFT calculation with PBE was carried out for a geometry-optimized K3TaI structure.

The total energy comes out at -2.494 eV/atom. For the formation energy (no corrections), the calculation gives 19.5 kcal/mol of atoms. The density of states at the Fermi level is 0.581 states/eV per atom.

It has space group Pm-3m (No. 221), with a = 6.644 Å, b = 6.644 Å, c = 6.644 Å, α = 90.00°, β = 90.00° and γ = 90.00°. The distinct sites, in fractional coordinates, are K at (0.000, 0.000, 0.500), Ta at (0.000, 0.000, 0.000) and I at (0.500, 0.500, 0.500).



Entry 2:
A plane-wave DFT calculation with PBE was carried out for a geometry-optimized Rb6TiS4 structure.

The total energy comes out at -3.796 eV/atom. For the formation energy (no corrections), the calculation gives -24.2 kcal/mol of atoms. The density of states at the Fermi level is 0.554 states/eV per atom.

It has space group P6_3mc (No. 186), with a = 10.6731 Å, b = 10.6731 Å, c = 8.0527 Å, α = 90.00°, β = 90.00° and γ = 120.00°. The distinct sites, in fractional coordinates, are Rb at (0.0644, 0.5322, 0.0000), Rb at (0.1341, 0.2683, 0.6805), Ti at (0.3333, 0.6667, 0.3989), S at (0.2130, 0.4261, 0.3010) and S at (0.3333, 0.6667, 0.6936).



Entry 3:
A plane-wave DFT calculation with PBE was carried out for a geometry-optimized Ti4Mn2Si structure.

The total energy comes out at -7.382 eV/atom. For the formation energy (no corrections), the calculation gives 12.1 kcal/mol of atoms. The density of states at the Fermi level is 0.992 states/eV per atom.

It has space group I4/mmm (No. 139), with a = 4.628 Å, b = 4.628 Å, c = 11.738 Å, α = 90.00°, β = 90.00° and γ = 90.00°. The distinct sites, in fractional coordinates, are Ti at (0.000, 0.000, 0.206), Ti at (0.000, 0.500, 0.000), Mn at (0.000, 0.000, 0.393) and Si at (0.000, 0.000, 0.000).



Entry 4:
A plane-wave DFT calculation with PBE was carried out for a geometry-optimized ReSiPCl2 structure.

The total energy comes out at -4.637 eV/atom. For the formation energy (no corrections), the calculation gives 17.5 kcal/mol of atoms. The density of states at the Fermi level is 0.923 states/eV per atom.

It has space group P4/mmm (No. 123), with a = 4.818 Å, b = 4.818 Å, c = 4.677 Å, α = 90.00°, β = 90.00° and γ = 90.00°. The distinct sites, in fractional coordinates, are Re at (0.000, 0.000, 0.000), Si at (0.500, 0.500, 0.500), P at (0.000, 0.000, 0.500) and Cl at (0.000, 0.500, 0.000).



Entry 5:
A plane-wave DFT calculation with PBE was carried out for a geometry-optimized Nd5HoErTm2 structure.

The total energy comes out at -4.513 eV/atom. The density of states at the Fermi level is 1.590 states/eV per atom. Its energy of formation from the pure elements is 0.145 eV/atom.

It has space group Cmc2_1 (No. 36), with a = 5.619 Å, b = 20.362 Å, c = 10.697 Å, α = 90.00°, β = 90.00° and γ = 90.00°. The distinct sites, in fractional coordinates, are Nd at (0.000, 0.015, 0.000), Nd at (0.000, 0.117, 0.277), Nd at (0.000, 0.202, 0.965), Nd at (0.000, 0.221, 0.570), Nd at (0.000, 0.484, 0.272), Ho at (0.000, 0.302, 0.269), Er at (0.000, 0.092, 0.720), Tm at (0.000, 0.387, 0.562) and Tm at (0.000, 0.387, 0.997).



Entry 6:
A plane-wave DFT calculation with PBE was carried out for a geometry-optimized Th3NiTe2 structure.

The total energy comes out at -6.585 eV/atom. For the formation energy (no corrections), the calculation gives -19.9 kcal/mol of atoms. The density of states at the Fermi level is 0.803 states/eV per atom.

It has space group C2/m (No. 12), with a = 7.473 Å, b = 12.915 Å, c = 7.808 Å, α = 90.00°, β = 108.74° and γ = 90.00°. The distinct sites, in fractional coordinates, are Th at (0.202, 0.000, 0.205), Th at (0.246, 0.184, 0.788), Ni at (0.000, 0.168, 0.000), Te at (0.000, 0.000, 0.500), Te at (0.000, 0.347, 0.500) and Te at (0.000, 0.500, 0.000).



Entry 7:
A plane-wave DFT calculation with PBE was carried out for a geometry-optimized HoTm2Tl3 structure.

The total energy comes out at -3.747 eV/atom. The density of states at the Fermi level is 0.685 states/eV per atom. Its energy of formation from the pure elements is -0.310 eV/atom.

It has space group P4/mmm (No. 123), with a = 3.627 Å, b = 3.627 Å, c = 12.182 Å, α = 90.00°, β = 90.00° and γ = 90.00°. The distinct sites, in fractional coordinates, are Ho at (0.000, 0.000, 0.000), Tm at (0.000, 0.000, 0.334), Tl at (0.500, 0.500, 0.168) and Tl at (0.500, 0.500, 0.500).



Entry 8:
A plane-wave DFT calculation with PBE was carried out for a geometry-optimized CrRhAu2 structure.

The total energy comes out at -5.722 eV/atom. The density of states at the Fermi level is 1.080 states/eV per atom. Its energy of formation from the pure elements is 0.160 eV/atom.

It has space group P2/m (No. 10), with a = 4.722 Å, b = 3.008 Å, c = 4.786 Å, α = 90.00°, β = 106.38° and γ = 90.00°. The distinct sites, in fractional coordinates, are Cr at (0.000, 0.000, 0.000), Rh at (0.500, 0.500, 0.000), Au at (0.000, 0.500, 0.500) and Au at (0.500, 0.000, 0.500).



Entry 9:
A plane-wave DFT calculation with PBE was carried out for a geometry-optimized NbGeBi3 structure.

The total energy comes out at -4.582 eV/atom. The density of states at the Fermi level is 0.896 states/eV per atom. Its energy of formation from the pure elements is 0.684 eV/atom.

It has space group Pm-3m (No. 221), with a = 5.498 Å, b = 5.498 Å, c = 5.498 Å, α = 90.00°, β = 90.00° and γ = 90.00°. The distinct sites, in fractional coordinates, are Nb at (0.000, 0.000, 0.000), Ge at (0.500, 0.500, 0.500) and Bi at (0.000, 0.000, 0.500).



Entry 10:
A plane-wave DFT calculation with PBE was carried out for a geometry-optimized K2BaRe structure.

The total energy comes out at -2.615 eV/atom. The density of states at the Fermi level is 1.020 states/eV per atom. Its energy of formation from the pure elements is 1.526 eV/atom.

It has space group R-3m (No. 166, hexagonal axes), with a = 3.2425 Å, b = 3.2425 Å, c = 40.9085 Å, α = 90.00°, β = 90.00° and γ = 120.00°. The distinct sites, in fractional coordinates, are K at (0.0000, 0.0000, 0.2351), Ba at (0.0000, 0.0000, 0.0000) and Re at (0.0000, 0.0000, 0.5000).



Entry 11:
A plane-wave DFT calculation with PBE was carried out for a geometry-optimized Ba3Hg4Pd4 structure.

The total energy comes out at -3.013 eV/atom. The density of states at the Fermi level is 0.426 states/eV per atom. Its energy of formation from the pure elements is -0.491 eV/atom.

It has space group P-1 (No. 2), with a = 4.502 Å, b = 4.702 Å, c = 14.897 Å, α = 99.02°, β = 98.67° and γ = 90.05°. The distinct sites, in fractional coordinates, are Ba at (0.000, 0.000, 0.000), Ba at (0.149, 0.649, 0.298), Hg at (0.251, 0.252, 0.503), Hg at (0.403, 0.903, 0.806), Pd at (0.309, 0.809, 0.617) and Pd at (0.452, 0.454, 0.907).



Entry 12:
A plane-wave DFT calculation with PBE was carried out for a geometry-optimized Tb2ErTm9 structure.

The total energy comes out at -4.374 eV/atom. The density of states at the Fermi level is 2.052 states/eV per atom. Its energy of formation from the pure elements is 0.132 eV/atom.

It has space group P4/mmm (No. 123), with a = 5.803 Å, b = 5.803 Å, c = 10.896 Å, α = 90.00°, β = 90.00° and γ = 90.00°. The distinct sites, in fractional coordinates, are Tb at (0.000, 0.000, 0.167), Er at (0.000, 0.000, 0.500), Tm at (0.000, 0.500, 0.000), Tm at (0.000, 0.500, 0.335), Tm at (0.500, 0.500, 0.166) and Tm at (0.500, 0.500, 0.500).



Entry 13:
A plane-wave DFT calculation with PBE was carried out for a geometry-optimized Fe2CuRu structure.

The total energy comes out at -7.383 eV/atom. The density of states at the Fermi level is 0.947 states/eV per atom. Its energy of formation from the pure elements is 0.192 eV/atom.

It has space group P4/mmm (No. 123), with a = 3.680 Å, b = 3.680 Å, c = 3.666 Å, α = 90.00°, β = 90.00° and γ = 90.00°. The distinct sites, in fractional coordinates, are Fe at (0.000, 0.500, 0.000), Cu at (0.000, 0.000, 0.500) and Ru at (0.500, 0.500, 0.500).



Entry 14:
A plane-wave DFT calculation with PBE was carried out for a geometry-optimized ScFe2 structure.

The total energy comes out at -7.687 eV/atom. The density of states at the Fermi level is 0.786 states/eV per atom. Its energy of formation from the pure elements is 0.065 eV/atom.

It has space group P6_3/mmc (No. 194), with a = 4.1948 Å, b = 4.1948 Å, c = 5.9471 Å, α = 90.00°, β = 90.00° and γ = 120.00°. The distinct sites, in fractional coordinates, are Sc at (0.0000, 0.0000, 0.2500) and Fe at (0.3333, 0.6667, 0.0383).



Entry 15:
A plane-wave DFT calculation with PBE was carried out for a geometry-optimized NbCr structure.

The total energy comes out at -9.736 eV/atom. The density of states at the Fermi level is 0.929 states/eV per atom. Its energy of formation from the pure elements is 0.111 eV/atom.

It has space group Cmme (No. 67), with a = 3.791 Å, b = 4.406 Å, c = 7.274 Å, α = 90.00°, β = 90.00° and γ = 90.00°. The distinct sites, in fractional coordinates, are Nb at (0.000, 0.250, 0.160) and Cr at (0.000, 0.250, 0.586).



Entry 16:
A plane-wave DFT calculation with PBE was carried out for a geometry-optimized ZrRu2W structure.

The total energy comes out at -9.997 eV/atom. The density of states at the Fermi level is 1.002 states/eV per atom. Its energy of formation from the pure elements is 0.016 eV/atom.

It has space group Immm (No. 71), with a = 3.297 Å, b = 4.683 Å, c = 8.554 Å, α = 90.00°, β = 90.00° and γ = 90.00°. The distinct sites, in fractional coordinates, are Zr at (0.000, 0.000, 0.000), Ru at (0.000, 0.500, 0.233) and W at (0.000, 0.000, 0.500).



Entry 17:
A plane-wave DFT calculation with PBE was carried out for a geometry-optimized Ce6Tl5Hg structure.

The total energy comes out at -4.091 eV/atom. The density of states at the Fermi level is 2.103 states/eV per atom. Its energy of formation from the pure elements is -0.113 eV/atom.

It has space group C2/m (No. 12), with a = 11.457 Å, b = 9.961 Å, c = 5.780 Å, α = 90.00°, β = 99.36° and γ = 90.00°. The distinct sites, in fractional coordinates, are Ce at (0.249, 0.000, 0.254), Ce at (0.249, 0.165, 0.749), Tl at (0.000, 0.166, 0.000), Tl at (0.000, 0.332, 0.500), Tl at (0.000, 0.500, 0.000) and Hg at (0.000, 0.000, 0.500).



Entry 18:
A plane-wave DFT calculation with PBE was carried out for a geometry-optimized La5Pr2Tm structure.

The total energy comes out at -4.711 eV/atom. The density of states at the Fermi level is 1.579 states/eV per atom. Its energy of formation from the pure elements is 0.122 eV/atom.

It has space group P2_1/c (No. 14), with a = 12.029 Å, b = 10.688 Å, c = 8.930 Å, α = 90.00°, β = 93.03° and γ = 90.00°. The distinct sites, in fractional coordinates, are La at (0.002, 0.250, 0.251), La at (0.237, 0.675, 0.459), La at (0.239, 0.175, 0.960), La at (0.425, 0.158, 0.644), La at (0.426, 0.664, 0.147), Pr at (0.146, 0.501, 0.103), Pr at (0.282, 0.000, 0.288), Tm at (0.000, 0.000, 0.000) and Tm at (0.500, 0.000, 0.000).



Entry 19:
A plane-wave DFT calculation with PBE was carried out for a geometry-optimized Hf3TaSi structure.

The total energy comes out at -8.148 eV/atom. For the formation energy (no corrections), the calculation gives 29.5 kcal/mol of atoms. The density of states at the Fermi level is 1.706 states/eV per atom.

It has space group Pm-3m (No. 221), with a = 5.049 Å, b = 5.049 Å, c = 5.049 Å, α = 90.00°, β = 90.00° and γ = 90.00°. The distinct sites, in fractional coordinates, are Hf at (0.000, 0.000, 0.500), Ta at (0.000, 0.000, 0.000) and Si at (0.500, 0.500, 0.500).



Entry 20:
A plane-wave DFT calculation with PBE was carried out for a geometry-optimized NbSe2F structure.

The total energy comes out at -5.617 eV/atom. For the formation energy (no corrections), the calculation gives -20.5 kcal/mol of atoms. The density of states at the Fermi level is 0.286 states/eV per atom.

It has space group R-3m (No. 166, hexagonal axes), with a = 3.5297 Å, b = 3.5297 Å, c = 23.0925 Å, α = 90.00°, β = 90.00° and γ = 120.00°. The distinct sites, in fractional coordinates, are Nb at (0.0000, 0.0000, 0.0000), Se at (0.0000, 0.0000, 0.4042) and F at (0.0000, 0.0000, 0.5000).